1.
# La8Tl3Os2, relaxed, DFT PBE-GGA
data_La8Tl3Os2
_symmetry_space_group_name_H-M 'C 1 2/m 1'
_symmetry_Int_Tables_number 12
_symmetry_space_group_name_Hall '-C 2y'
_cell_length_a 17.999
_cell_length_b 10.865
_cell_length_c 4.092
_cell_angle_alpha 90.00
_cell_angle_beta 96.53
_cell_angle_gamma 90.00
loop_
_atom_site_label
_atom_site_fract_x
_atom_site_fract_y
_atom_site_fract_z
_atom_site_occupancy
La1 0.076 0.000 0.245 1
La2 0.162 0.500 0.165 1
La3 0.174 0.209 0.710 1
Tl1 0.000 0.270 0.000 1
Tl2 0.000 0.500 0.500 1
Os1 0.228 0.000 0.250 1
# Crystal system: monoclinic
# Uncorrected energy: -5.4456 eV per atom
# Formation energy from the elements: -0.140 eV/atom
# Fermi-level density of states: 0.92 states/eV per atom

---

2.
# Li6Tl2Au, relaxed, DFT PBE-GGA
data_Li6Tl2Au
_symmetry_space_group_name_H-M 'P 6/m m m'
_symmetry_Int_Tables_number 191
_symmetry_space_group_name_Hall '-P 6 2'
_cell_length_a 7.8149
_cell_length_b 7.8149
_cell_length_c 3.0099
_cell_angle_alpha 90.00
_cell_angle_beta 90.00
_cell_angle_gamma 120.00
loop_
_atom_site_label
_atom_site_fract_x
_atom_site_fract_y
_atom_site_fract_z
_atom_site_occupancy
Li1 0.0000 0.3237 0.0000 1
Tl1 0.3333 0.6667 0.5000 1
Au1 0.0000 0.0000 0.5000 1
# Crystal system: hexagonal
# Uncorrected energy: -2.4092 eV per atom
# Formation energy from the elements: -0.243 eV/atom
# Fermi-level density of states: 0.45 states/eV per atom
# Energy above the lowest structure with this stoichiometry: 37 meV per atom

---

3.
# HoScInAg, relaxed, DFT PBE-GGA
data_HoScInAg
_symmetry_space_group_name_H-M 'F -4 3 m'
_symmetry_Int_Tables_number 216
_symmetry_space_group_name_Hall 'F -4 2 3'
_cell_length_a 7.209
_cell_length_b 7.209
_cell_length_c 7.209
_cell_angle_alpha 90.00
_cell_angle_beta 90.00
_cell_angle_gamma 90.00
loop_
_atom_site_label
_atom_site_fract_x
_atom_site_fract_y
_atom_site_fract_z
_atom_site_occupancy
Ho1 0.000 0.000 0.000 1
Sc1 0.000 0.000 0.500 1
In1 0.250 0.250 0.250 1
Ag1 0.250 0.250 0.750 1
# Crystal system: cubic
# Uncorrected energy: -4.5006 eV per atom
# Formation energy from the elements: -0.376 eV/atom
# Fermi-level density of states: 0.76 states/eV per atom

---

4.
# La3Zn2Ag4, relaxed, DFT PBE-GGA
data_La3Zn2Ag4
_symmetry_space_group_name_H-M 'C 1 2/m 1'
_symmetry_Int_Tables_number 12
_symmetry_space_group_name_Hall '-C 2y'
_cell_length_a 11.113
_cell_length_b 4.753
_cell_length_c 9.082
_cell_angle_alpha 90.00
_cell_angle_beta 114.60
_cell_angle_gamma 90.00
loop_
_atom_site_label
_atom_site_fract_x
_atom_site_fract_y
_atom_site_fract_z
_atom_site_occupancy
La1 0.000 0.000 0.000 1
La2 0.164 0.500 0.666 1
Zn1 0.115 0.500 0.284 1
Ag1 0.061 0.000 0.388 1
Ag2 0.218 0.500 0.062 1
# Crystal system: monoclinic
# Uncorrected energy: -3.5147 eV per atom
# Formation energy from the elements: -0.322 eV/atom
# Fermi-level density of states: 0.77 states/eV per atom

---

5.
# NpPaP2Rh5, relaxed, DFT PBE-GGA
data_NpPaP2Rh5
_symmetry_space_group_name_H-M 'P 4/m m m'
_symmetry_Int_Tables_number 123
_symmetry_space_group_name_Hall '-P 4 2'
_cell_length_a 4.004
_cell_length_b 4.004
_cell_length_c 10.768
_cell_angle_alpha 90.00
_cell_angle_beta 90.00
_cell_angle_gamma 90.00
loop_
_atom_site_label
_atom_site_fract_x
_atom_site_fract_y
_atom_site_fract_z
_atom_site_occupancy
Np1 0.000 0.000 0.000 1
Pa1 0.000 0.000 0.500 1
P1 0.500 0.500 0.212 1
Rh1 0.000 0.500 0.318 1
Rh2 0.500 0.500 0.000 1
# Crystal system: tetragonal
# Uncorrected energy: -8.4377 eV per atom
# Formation energy from the elements: -0.658 eV/atom
# Fermi-level density of states: 1.26 states/eV per atom

---

6.
# Tl3Co, relaxed, DFT PBE-GGA
data_Tl3Co
_symmetry_space_group_name_H-M 'P 1 21/m 1'
_symmetry_Int_Tables_number 11
_symmetry_space_group_name_Hall '-P 2yb'
_cell_length_a 7.004
_cell_length_b 3.488
_cell_length_c 7.918
_cell_angle_alpha 90.00
_cell_angle_beta 99.80
_cell_angle_gamma 90.00
loop_
_atom_site_label
_atom_site_fract_x
_atom_site_fract_y
_atom_site_fract_z
_atom_site_occupancy
Tl1 0.070 0.250 0.284 1
Tl2 0.302 0.250 0.958 1
Tl3 0.355 0.750 0.601 1
Co1 0.368 0.750 0.235 1
# Crystal system: monoclinic
# Uncorrected energy: -3.1734 eV per atom
# Formation energy from the elements: 0.378 eV/atom
# Fermi-level density of states: 0.80 states/eV per atom

---

7.
# Dy12InPd6, relaxed, DFT PBE-GGA
data_Dy12InPd6
_symmetry_space_group_name_H-M 'R -3'
_symmetry_Int_Tables_number 148
_symmetry_space_group_name_Hall '-R 3'
_cell_length_a 14.1373
_cell_length_b 14.1373
_cell_length_c 8.9625
_cell_angle_alpha 90.00
_cell_angle_beta 90.00
_cell_angle_gamma 120.00
loop_
_atom_site_label
_atom_site_fract_x
_atom_site_fract_y
_atom_site_fract_z
_atom_site_occupancy
Dy1 0.0398 0.7868 0.4273 1
Dy2 0.0575 0.8804 0.8244 1
In1 0.0000 0.0000 0.5000 1
Pd1 0.0714 0.5722 0.7806 1
# Crystal system: trigonal
# Uncorrected energy: -5.1969 eV per atom
# Formation energy from the elements: -0.506 eV/atom
# Fermi-level density of states: 0.87 states/eV per atom
# Energy above the lowest structure with this stoichiometry: 116 meV per atom

---

8.
# RbAsI3, relaxed, DFT PBE-GGA
data_RbAsI3
_symmetry_space_group_name_H-M 'P m -3 m'
_symmetry_Int_Tables_number 221
_symmetry_space_group_name_Hall '-P 4 2 3'
_cell_length_a 6.687
_cell_length_b 6.687
_cell_length_c 6.687
_cell_angle_alpha 90.00
_cell_angle_beta 90.00
_cell_angle_gamma 90.00
loop_
_atom_site_label
_atom_site_fract_x
_atom_site_fract_y
_atom_site_fract_z
_atom_site_occupancy
Rb1 0.000 0.000 0.000 1
As1 0.500 0.500 0.500 1
I1 0.000 0.000 0.500 1
# Crystal system: cubic
# Uncorrected energy: -1.4736 eV per atom
# E_form (uncorrected): 0.580 eV/atom
# Fermi-level density of states: 3.68 states/eV per atom
# Energy above the lowest structure with this stoichiometry: 1242 meV per atom

---

9.
# Tb6Sm2Ho3Tm, relaxed, DFT PBE-GGA
data_Tb6Sm2Ho3Tm
_symmetry_space_group_name_H-M 'C 1 2/m 1'
_symmetry_Int_Tables_number 12
_symmetry_space_group_name_Hall '-C 2y'
_cell_length_a 6.159
_cell_length_b 10.658
_cell_length_c 11.785
_cell_angle_alpha 90.00
_cell_angle_beta 99.97
_cell_angle_gamma 90.00
loop_
_atom_site_label
_atom_site_fract_x
_atom_site_fract_y
_atom_site_fract_z
_atom_site_occupancy
Tb1 0.248 0.000 0.248 1
Tb2 0.249 0.334 0.248 1
Sm1 0.000 0.333 0.500 1
Ho1 0.000 0.166 0.000 1
Ho2 0.000 0.500 0.000 1
Tm1 0.000 0.000 0.500 1
# Crystal system: monoclinic
# Uncorrected energy: -4.6032 eV per atom
# Formation energy from the elements: 0.016 eV/atom
# Fermi-level density of states: 1.26 states/eV per atom

---

10.
# SrHgW2, relaxed, DFT PBE-GGA
data_SrHgW2
_symmetry_space_group_name_H-M 'C 1 2/m 1'
_symmetry_Int_Tables_number 12
_symmetry_space_group_name_Hall '-C 2y'
_cell_length_a 11.677
_cell_length_b 2.848
_cell_length_c 5.253
_cell_angle_alpha 90.00
_cell_angle_beta 106.91
_cell_angle_gamma 90.00
loop_
_atom_site_label
_atom_site_fract_x
_atom_site_fract_y
_atom_site_fract_z
_atom_site_occupancy
Sr1 0.000 0.000 0.000 1
Hg1 0.000 0.500 0.500 1
W1 0.228 0.000 0.731 1
# Crystal system: monoclinic
# Uncorrected energy: -5.9826 eV per atom
# Formation energy from the elements: 0.990 eV/atom
# Fermi-level density of states: 0.68 states/eV per atom

---

11.
# ZrSi, relaxed, DFT PBE-GGA
data_ZrSi
_symmetry_space_group_name_H-M 'R -3 m'
_symmetry_Int_Tables_number 166
_symmetry_space_group_name_Hall '-R 3 2"'
_cell_length_a 3.8862
_cell_length_b 3.8862
_cell_length_c 18.1484
_cell_angle_alpha 90.00
_cell_angle_beta 90.00
_cell_angle_gamma 120.00
loop_
_atom_site_label
_atom_site_fract_x
_atom_site_fract_y
_atom_site_fract_z
_atom_site_occupancy
Zr1 0.0000 0.0000 0.0935 1
Si1 0.0000 0.0000 0.3358 1
# Crystal system: trigonal
# Uncorrected energy: -7.2604 eV per atom
# E_form (uncorrected): -0.275 eV/atom
# Fermi-level density of states: 0.61 states/eV per atom

---

12.
# Pu2B6C3, relaxed, DFT PBE-GGA
data_Pu2B6C3
_symmetry_space_group_name_H-M 'P -6 2 m'
_symmetry_Int_Tables_number 189
_symmetry_space_group_name_Hall 'P -6 -2'
_cell_length_a 6.4944
_cell_length_b 6.4944
_cell_length_c 2.9552
_cell_angle_alpha 90.00
_cell_angle_beta 90.00
_cell_angle_gamma 120.00
loop_
_atom_site_label
_atom_site_fract_x
_atom_site_fract_y
_atom_site_fract_z
_atom_site_occupancy
Pu1 0.3333 0.6667 0.0000 1
B1 0.0000 0.2222 0.5000 1
B2 0.0000 0.8479 0.0000 1
C1 0.0000 0.4528 0.5000 1
# Crystal system: hexagonal
# Uncorrected energy: -8.2215 eV per atom
# Formation energy from the elements: 0.542 eV/atom
# Fermi-level density of states: 1.02 states/eV per atom

---

Repeat the second record exactly.
# Li6Tl2Au, relaxed, DFT PBE-GGA
data_Li6Tl2Au
_symmetry_space_group_name_H-M 'P 6/m m m'
_symmetry_Int_Tables_number 191
_symmetry_space_group_name_Hall '-P 6 2'
_cell_length_a 7.8149
_cell_length_b 7.8149
_cell_length_c 3.0099
_cell_angle_alpha 90.00
_cell_angle_beta 90.00
_cell_angle_gamma 120.00
loop_
_atom_site_label
_atom_site_fract_x
_atom_site_fract_y
_atom_site_fract_z
_atom_site_occupancy
Li1 0.0000 0.3237 0.0000 1
Tl1 0.3333 0.6667 0.5000 1
Au1 0.0000 0.0000 0.5000 1
# Crystal system: hexagonal
# Uncorrected energy: -2.4092 eV per atom
# Formation energy from the elements: -0.243 eV/atom
# Fermi-level density of states: 0.45 states/eV per atom
# Energy above the lowest structure with this stoichiometry: 37 meV per atom